[1]
# PdSe2I | Alexandria via LeMat-Bulk | PBE | relaxed
# * uncorrected energy: -3.18 eV/atom
# * polymorph energy (0 for the lowest one): 439 meV per atom
# * calculated volume: 328.3 Å³ per cell
# * DOS(E_F): 0.659 states/eV per atom
data_PdSe2I
_chemical_formula_sum 'Pd3 Se6 I3'
_cell_length_a 3.0803
_cell_length_b 3.0803
_cell_length_c 39.9531
_cell_angle_alpha 90.00
_cell_angle_beta 90.00
_cell_angle_gamma 120.00
_symmetry_space_group_name_H-M 'R -3 m'
_symmetry_Int_Tables_number 166
_symmetry_space_group_name_Hall '-R 3 2"'
loop_
_atom_site_label
_atom_site_type_symbol
_atom_site_fract_x
_atom_site_fract_y
_atom_site_fract_z
Pd1 Pd 0.0000 0.0000 0.0000
Se1 Se 0.0000 0.0000 0.0603
I1 I 0.0000 0.0000 0.5000

[2]
# Zr5TiCo6 | Alexandria via LeMat-Bulk | PBE | relaxed
# * uncorrected energy: -8.13 eV/atom
# * calculated volume: 378.8 Å³ per cell
# * DOS(E_F): 0.639 states/eV per atom
data_Zr5TiCo6
_chemical_formula_sum 'Zr10 Ti2 Co12'
_cell_length_a 14.796
_cell_length_b 4.070
_cell_length_c 6.447
_cell_angle_alpha 90.00
_cell_angle_beta 102.61
_cell_angle_gamma 90.00
_symmetry_space_group_name_H-M 'C 1 2/m 1'
_symmetry_Int_Tables_number 12
_symmetry_space_group_name_Hall '-C 2y'
loop_
_atom_site_label
_atom_site_type_symbol
_atom_site_fract_x
_atom_site_fract_y
_atom_site_fract_z
Zr1 Zr 0.000 0.000 0.000
Zr2 Zr 0.172 0.500 0.586
Zr3 Zr 0.176 0.500 0.089
Ti1 Ti 0.000 0.000 0.500
Co1 Co 0.000 0.500 0.272
Co2 Co 0.137 0.000 0.325
Co3 Co 0.138 0.000 0.813

[3]
# Mg4Si3 | Alexandria via LeMat-Bulk | PBE | relaxed
# * uncorrected energy: -3.17 eV/atom
# * polymorph energy (0 for the lowest one): 101 meV per atom
# * calculated volume: 274.9 Å³ per cell
# * DOS(E_F): 0.320 states/eV per atom
data_Mg4Si3
_chemical_formula_sum 'Mg8 Si6'
_cell_length_a 5.366
_cell_length_b 7.866
_cell_length_c 7.976
_cell_angle_alpha 119.24
_cell_angle_beta 106.66
_cell_angle_gamma 92.27
_symmetry_space_group_name_H-M 'P 1'
_symmetry_Int_Tables_number 1
_symmetry_space_group_name_Hall 'P 1'
loop_
_atom_site_label
_atom_site_type_symbol
_atom_site_fract_x
_atom_site_fract_y
_atom_site_fract_z
Mg1 Mg 0.000 0.000 0.000
Mg2 Mg 0.009 0.869 0.290
Mg3 Mg 0.091 0.494 0.810
Mg4 Mg 0.358 0.540 0.249
Mg5 Mg 0.571 0.613 0.716
Mg6 Mg 0.637 0.225 0.326
Mg7 Mg 0.755 0.383 0.022
Mg8 Mg 0.984 0.671 0.529
Si1 Si 0.055 0.116 0.739
Si2 Si 0.165 0.316 0.396
Si3 Si 0.399 0.212 0.629
Si4 Si 0.442 0.006 0.875
Si5 Si 0.468 0.831 0.068
Si6 Si 0.591 0.918 0.582

[4]
# LiRe2Mo | Alexandria via LeMat-Bulk | PBE | relaxed
# * uncorrected energy: -9.15 eV/atom
# * polymorph energy (0 for the lowest one): 82 meV per atom
# * calculated volume: 116.8 Å³ per cell
# * DOS(E_F): 0.782 states/eV per atom
data_LiRe2Mo
_chemical_formula_sum 'Li2 Re4 Mo2'
_cell_length_a 3.057
_cell_length_b 4.384
_cell_length_c 8.717
_cell_angle_alpha 90.00
_cell_angle_beta 90.00
_cell_angle_gamma 90.00
_symmetry_space_group_name_H-M 'I m m 2'
_symmetry_Int_Tables_number 44
_symmetry_space_group_name_Hall 'I 2 -2'
loop_
_atom_site_label
_atom_site_type_symbol
_atom_site_fract_x
_atom_site_fract_y
_atom_site_fract_z
Li1 Li 0.000 0.000 0.000
Re1 Re 0.000 0.000 0.504
Re2 Re 0.000 0.500 0.243
Mo1 Mo 0.000 0.500 0.761